LaZrSc2 PBE relaxed; formation energy from the elements = 107 meV/atom; symmetry = I-4m2, No. 119; total magnetic moment = 0.000 μB per atom; E above lowest polymorph = 0.218 eV/f.u.; theoretical density = 5.0 g/cm3
1.0
5.7917 0.0023 0.0000
1.9272 5.4616 0.0000
-3.8595 -2.7320 3.3443
Zr La Sc
1 1 2
Cartesian
3.8595 2.7320 0.0000
2.8958 0.0012 1.6722
0.0000 0.0000 0.0000
0.9636 2.7308 1.6722

CaP4Pt2 PBE relaxed; formation energy from the elements = -411 meV/atom; symmetry = P4_2/mmc, No. 131; total magnetic moment = 0.000 μB per atom; theoretical density = 7.6 g/cm3
1.0
-0.6715 5.5535 0.3042
-3.0101 -0.6205 4.6839
6.4484 0.5487 4.2168
P Pt Ca
8 4 2
Cartesian
3.8291 1.7611 4.5272
2.4660 1.4801 6.6483
0.6049 1.4867 2.4188
3.5251 4.2760 4.6650
-1.0623 3.7207 4.6777
-0.7582 1.2057 4.5399
2.1619 3.9950 6.7861
0.3009 4.0016 2.5565
0.9756 -0.1892 5.6074
2.4627 0.1174 3.2933
-0.5016 4.1486 0.2272
-0.1699 1.4049 0.0769
2.8885 3.0511 2.2605
-1.5051 -0.3102 2.3419

TmTh2Al4 PBE relaxed; formation energy from the elements = 407 meV/atom; symmetry = I4/mmm, No. 139; total magnetic moment = 0.000 μB per atom; theoretical density = 6.0 g/cm3
1.0
5.1099 0.0000 0.0000
0.0000 5.1099 0.0000
-2.5549 -2.5549 7.8135
Th Al Tm
2 4 1
Cartesian
0.0000 0.0000 5.9137
2.5549 2.5549 1.8998
2.5549 2.5549 5.0056
0.0000 2.5549 0.0000
0.0000 0.0000 2.8079
2.5549 0.0000 0.0000
0.0000 0.0000 0.0000